This record from the Alexandria database describes a relaxed Rb3MnCu2Br9 crystal. The functional is PBE-GGA.

abc: 7.4199 7.4199 9.0959
angles: 90.00 90.00 120.00
Space group P-3m1 (No. 164)
Inequivalent atoms, fractional coordinates:
1 Rb 0.0000 0.0000 0.0000 [1 per cell]
2 Rb 0.3333 0.6667 0.6711 [2 per cell]
3 Mn 0.0000 0.0000 0.5000 [1 per cell]
4 Cu 0.3333 0.6667 0.1566 [2 per cell]
5 Br 0.0000 0.5000 0.0000 [3 per cell]
6 Br 0.1653 0.3305 0.3361 [6 per cell]

=====

This record from the Alexandria database describes a relaxed MnCu2SbBr crystal. The functional is PBE-GGA.

abc: 4.643 4.643 5.064
angles: 90.00 90.00 90.00
Space group P4/mmm (No. 123)
Inequivalent atoms, fractional coordinates:
1 Mn 0.000 0.000 0.000 [1 per cell]
2 Cu 0.000 0.500 0.500 [2 per cell]
3 Sb 0.500 0.500 0.000 [1 per cell]
4 Br 0.000 0.000 0.500 [1 per cell]

=====

This record from the Alexandria database describes a relaxed ScMnCuBr2 crystal. The functional is PBE-GGA.

abc: 5.091 5.091 6.083
angles: 90.00 90.00 90.00
Space group P4/mmm (No. 123)
Inequivalent atoms, fractional coordinates:
1 Sc 0.000 0.000 0.000 [1 per cell]
2 Mn 0.000 0.000 0.500 [1 per cell]
3 Cu 0.500 0.500 0.500 [1 per cell]
4 Br 0.000 0.500 0.000 [2 per cell]

=====

This record from the Alexandria database describes a relaxed MnCuSeBr2 crystal. The functional is PBE-GGA.

## Properties
ΔE to the lowest computed polymorph = 0.000 eV/f.u.

abc: 4.858 4.858 5.115
angles: 90.00 90.00 90.00
Space group P4/mmm (No. 123)
Inequivalent atoms, fractional coordinates:
1 Mn 0.000 0.000 0.000 [1 per cell]
2 Cu 0.500 0.500 0.500 [1 per cell]
3 Se 0.500 0.500 0.000 [1 per cell]
4 Br 0.000 0.500 0.500 [2 per cell]

=====

This record from the Alexandria database describes a relaxed MnTl2CuBr crystal. The functional is PBE-GGA.

abc: 6.167 6.167 4.695
angles: 90.00 90.00 90.00
Space group P4/mmm (No. 123)
Inequivalent atoms, fractional coordinates:
1 Mn 0.000 0.000 0.000 [1 per cell]
2 Tl 0.000 0.500 0.500 [2 per cell]
3 Cu 0.500 0.500 0.000 [1 per cell]
4 Br 0.000 0.000 0.500 [1 per cell]

=====

This record from the Alexandria database describes a relaxed MnTl2Cu2Br6 crystal. The functional is PBE-GGA.

abc: 13.582 7.524 7.928
angles: 90.00 124.66 90.00
Space group C2/m (No. 12)
Inequivalent atoms, fractional coordinates:
1 Mn 0.000 0.000 0.000 [2 per cell]
2 Tl 0.246 0.000 0.727 [4 per cell]
3 Cu 0.067 0.500 0.771 [4 per cell]
4 Br 0.050 0.242 0.284 [8 per cell]
5 Br 0.240 0.000 0.160 [4 per cell]

=====

This record from the Alexandria database describes a relaxed MnTlCu2Br6 crystal. The functional is PBE-GGA.

abc: 14.440 12.488 8.144
angles: 90.00 114.91 90.00
Space group C2/c (No. 15)
Inequivalent atoms, fractional coordinates:
1 Mn 0.000 0.186 0.250 [4 per cell]
2 Tl 0.000 0.172 0.750 [4 per cell]
3 Cu 0.193 0.451 0.681 [8 per cell]
4 Br 0.115 0.067 0.173 [8 per cell]
5 Br 0.121 0.273 0.526 [8 per cell]
6 Br 0.151 0.426 0.935 [8 per cell]

=====

This record from the Alexandria database describes a relaxed MnTlCuBr6 crystal. The functional is PBE-GGA.

abc: 6.7410 6.7410 7.1370
angles: 90.00 90.00 120.00
Space group P312 (No. 149)
Inequivalent atoms, fractional coordinates:
1 Mn 0.0000 0.0000 0.0000 [1 per cell]
2 Tl 0.6667 0.3333 0.5000 [1 per cell]
3 Cu 0.3333 0.6667 0.0000 [1 per cell]
4 Br 0.0394 0.3260 0.2054 [6 per cell]

=====

This record from the Alexandria database describes a relaxed MnTlCuBr5 crystal. The functional is PBE-GGA.

abc: 8.979 11.984 9.918
angles: 90.00 113.40 90.00
Space group C2/c (No. 15)
Inequivalent atoms, fractional coordinates:
1 Mn 0.000 0.000 0.000 [4 per cell]
2 Tl 0.000 0.340 0.250 [4 per cell]
3 Cu 0.000 0.308 0.750 [4 per cell]
4 Br 0.000 0.063 0.250 [4 per cell]
5 Br 0.097 0.202 0.593 [8 per cell]
6 Br 0.200 0.434 0.926 [8 per cell]

=====

This record from the Alexandria database describes a relaxed MnTl2CuBr5 crystal. The functional is PBE-GGA.

abc: 4.127 19.791 13.667
angles: 90.00 90.00 90.00
Space group Cmc2_1 (No. 36)
Inequivalent atoms, fractional coordinates:
1 Mn 0.000 0.207 0.000 [4 per cell]
2 Tl 0.000 0.121 0.675 [4 per cell]
3 Tl 0.000 0.123 0.297 [4 per cell]
4 Cu 0.000 0.427 0.408 [4 per cell]
5 Br 0.000 0.072 0.009 [4 per cell]
6 Br 0.000 0.290 0.632 [4 per cell]
7 Br 0.000 0.299 0.362 [4 per cell]
8 Br 0.000 0.341 0.988 [4 per cell]
9 Br 0.000 0.496 0.265 [4 per cell]

=====

This record from the Alexandria database describes a relaxed MnTlCu2Br8 crystal. The functional is PBE-GGA.

abc: 6.4779 6.4779 30.0040
angles: 90.00 90.00 120.00
Space group R32 (No. 155, hexagonal axes)
Inequivalent atoms, fractional coordinates:
1 Mn 0.0000 0.0000 0.0000 [3 per cell]
2 Tl 0.0000 0.0000 0.5000 [3 per cell]
3 Cu 0.0000 0.0000 0.2571 [6 per cell]
4 Br 0.0000 0.0000 0.1786 [6 per cell]
5 Br 0.0156 0.3136 0.0563 [18 per cell]

=====

This record from the Alexandria database describes a relaxed MnZn2CuBr crystal. The functional is PBE-GGA.

abc: 4.704 4.704 4.929
angles: 90.00 90.00 90.00
Space group P4/mmm (No. 123)
Inequivalent atoms, fractional coordinates:
1 Mn 0.000 0.000 0.000 [1 per cell]
2 Zn 0.000 0.500 0.500 [2 per cell]
3 Cu 0.000 0.000 0.500 [1 per cell]
4 Br 0.500 0.500 0.000 [1 per cell]

=====

Formation energy (no corrections), respectively: -970; 769; 261; 247; 796; -580; -525; -548; -613; -696; -384; 316 meV per atom.